Entry 1:
Here is a relaxed Nd6HoTm crystal from Alexandria. Energies are from PBE.

- offset from the most stable computed form (meV/atom) = 2
- DFT formation energy (eV/atom) = 0.017
- spin magnetization (μB per cell) = 0.00
- calculated total energy (eV per atom) = -4.69

Cell lengths 6.287, 6.287, 8.148 Å; angles 105.19, 105.19, 108.72 degrees
Positions (direct):
Ho (0.000, 0.000, 0.000)
Tm (0.500, 0.500, 0.000)
Nd (0.377, 0.877, 0.754)
Nd (0.623, 0.123, 0.246)
Nd (0.877, 0.377, 0.754)
Nd (0.250, 0.250, 0.501)
Nd (0.750, 0.750, 0.499)
Nd (0.123, 0.623, 0.246)

---

Entry 2:
Here is a relaxed LaAsIr2 crystal from Alexandria. Energies are from PBE.

- DFT formation energy (eV/atom) = -0.447
- spin magnetization (μB per cell) = 0.00
- calculated total energy (eV per atom) = -7.27

Cell lengths 3.847, 4.367, 5.521 Å; angles 90.01, 90.00, 90.00 degrees
Positions (direct):
As (0.500, 0.750, 0.750)
La (0.500, 0.250, 0.250)
Ir (0.000, 0.751, 0.017)
Ir (0.000, 0.749, 0.483)

---

Entry 3:
Here is a relaxed Mg2Mn2Ru crystal from Alexandria. Energies are from PBE.

- DFT formation energy (eV/atom) = 0.303
- spin magnetization (μB per cell) = 5.64
- calculated total energy (eV per atom) = -5.86

Cell lengths 5.989, 5.989, 4.420 Å; angles 90.00, 90.00, 90.00 degrees
Site moments in Bohr magnetons follow the coordinates.
Positions (direct):
Mn (0.878, 0.622, 0.000)  1.42
Mn (0.622, 0.122, 0.000)  1.34
Mn (0.122, 0.378, 0.000)  1.42
Mn (0.378, 0.878, 0.000)  1.34
Mg (0.681, 0.819, 0.500)  -0.01
Mg (0.319, 0.181, 0.500)  -0.01
Mg (0.181, 0.681, 0.500)  -0.01
Mg (0.819, 0.319, 0.500)  -0.01
Ru (0.000, 0.000, 0.000)  -0.11
Ru (0.500, 0.500, 0.000)  -0.10

---

Entry 4:
Here is a relaxed SnGeO4 crystal from Alexandria. Energies are from PBE.

- offset from the most stable computed form (meV/atom) = 0
- E_form (uncorrected) (eV/f.u.) = -9.50
- spin magnetization (μB per cell) = 0.00
- calculated total energy (eV per atom) = -6.32

Cell lengths 5.597, 5.597, 5.597 Å; angles 107.57, 107.57, 113.34 degrees
Positions (direct):
Sn (0.751, 0.751, 0.000)
Sn (0.501, 0.001, 0.500)
Ge (0.248, 0.248, 0.000)
Ge (0.998, 0.498, 0.500)
O (0.828, 0.017, 0.810)
O (0.767, 0.078, 0.310)
O (0.233, 0.927, 0.693)
O (0.207, 0.017, 0.190)
O (0.677, 0.483, 0.193)
O (0.767, 0.457, 0.690)
O (0.290, 0.483, 0.807)
O (0.233, 0.540, 0.307)

---

Entry 5:
Here is a relaxed BeCu2Ru crystal from Alexandria. Energies are from PBE.

- DFT formation energy (eV/atom) = 0.093
- spin magnetization (μB per cell) = 0.00
- calculated total energy (eV per atom) = -5.21

Cell lengths 2.656, 2.656, 6.445 Å; angles 90.00, 90.00, 90.00 degrees
Positions (direct):
Be (0.500, 0.500, 0.750)
Cu (0.000, 0.000, 0.542)
Cu (0.000, 0.000, 0.958)
Ru (0.500, 0.500, 0.250)

---

Entry 6:
Here is a relaxed HfAl8Co4 crystal from Alexandria. Energies are from PBE.

- DFT formation energy (eV/atom) = -0.497
- spin magnetization (μB per cell) = 0.00
- calculated total energy (eV per atom) = -5.75

Cell lengths 5.062, 6.465, 6.465 Å; angles 81.18, 66.95, 66.95 degrees
Positions (direct):
Hf (0.000, 0.000, 0.000)
Al (0.000, 0.664, 0.336)
Al (0.500, 0.220, 0.780)
Al (0.720, 0.780, 0.780)
Al (0.664, 0.336, 0.336)
Al (0.000, 0.336, 0.664)
Al (0.500, 0.780, 0.220)
Al (0.336, 0.664, 0.664)
Al (0.280, 0.220, 0.220)
Co (0.500, 0.000, 0.500)
Co (0.500, 0.500, 0.000)
Co (0.000, 0.500, 0.000)
Co (0.000, 0.000, 0.500)

---

Entry 7:
Here is a relaxed Sm5Dy2Ho2 crystal from Alexandria. Energies are from PBE.

- offset from the most stable computed form (meV/atom) = 160
- DFT formation energy (eV/atom) = 0.176
- spin magnetization (μB per cell) = 0.00
- calculated total energy (eV per atom) = -4.49

Cell lengths 12.823, 6.176, 10.362 Å; angles 107.34, 128.23, 90.00 degrees
Positions (direct):
Dy (0.500, 0.387, 0.000)
Dy (0.805, 0.764, 0.500)
Dy (0.195, 0.264, 0.500)
Dy (0.000, 0.887, 0.000)
Sm (0.749, 0.841, 0.097)
Sm (0.542, 0.311, 0.713)
Sm (0.458, 0.599, 0.287)
Sm (0.670, 0.811, 0.713)
Sm (0.848, 0.341, 0.097)
Sm (0.152, 0.244, 0.903)
Sm (0.929, 0.293, 0.500)
Sm (0.330, 0.099, 0.287)
Sm (0.071, 0.793, 0.500)
Sm (0.251, 0.744, 0.903)
Ho (0.586, 0.084, 0.270)
Ho (0.184, 0.584, 0.270)
Ho (0.816, 0.314, 0.730)
Ho (0.414, 0.814, 0.730)

---

Entry 8:
Here is a relaxed TaTlAu crystal from Alexandria. Energies are from PBE.

- DFT formation energy (eV/atom) = 0.291
- spin magnetization (μB per cell) = 0.00
- calculated total energy (eV per atom) = -5.54

Cell lengths 6.702, 6.702, 6.702 Å; angles 153.44, 153.44, 37.91 degrees
Positions (direct):
Au (0.988, 0.988, 0.000)
Ta (0.343, 0.343, 0.000)
Tl (0.669, 0.669, 0.000)

---

Entry 9:
Here is a relaxed EuAlZnIn crystal from Alexandria. Energies are from PBE.

- DFT formation energy (eV/atom) = -0.185
- spin magnetization (μB per cell) = 6.94
- calculated total energy (eV per atom) = -4.69

Cell lengths 5.052, 5.052, 5.052 Å; angles 60.00, 60.00, 60.00 degrees
Site moments in Bohr magnetons follow the coordinates.
Positions (direct):
Al (0.250, 0.250, 0.250)  -0.01
In (0.000, 0.000, 0.000)  0.00
Eu (0.750, 0.750, 0.750)  6.79
Zn (0.500, 0.500, 0.500)  0.00

---

Entry 10:
Here is a relaxed InAg3 crystal from Alexandria. Energies are from PBE.

- DFT formation energy (eV/atom) = -0.017
- spin magnetization (μB per cell) = 0.00
- calculated total energy (eV per atom) = -2.84

Cell lengths 5.237, 5.237, 5.030 Å; angles 76.86, 76.86, 34.74 degrees
Positions (direct):
Ag (0.751, 0.751, 0.747)
Ag (0.249, 0.249, 0.253)
Ag (0.500, 0.500, 0.500)
In (0.000, 0.000, 0.000)

---

Entry 11:
Here is a relaxed TbHgI2 crystal from Alexandria. Energies are from PBE.

- E_form (uncorrected) (eV/f.u.) = -3.56
- spin magnetization (μB per cell) = 0.00
- calculated total energy (eV per atom) = -2.90

Cell lengths 4.107, 4.107, 12.511 Å; angles 80.55, 80.55, 60.00 degrees
Positions (direct):
I (0.113, 0.113, 0.662)
I (0.887, 0.887, 0.338)
Hg (0.000, 0.000, 0.000)
Tb (0.500, 0.500, 0.500)

---

Entry 12:
Here is a relaxed SrCe2MnN4 crystal from Alexandria. Energies are from PBE.

- E_form (uncorrected) (eV/f.u.) = -8.51
- spin magnetization (μB per cell) = 8.42
- calculated total energy (eV per atom) = -8.07

Cell lengths 3.564, 6.242, 11.906 Å; angles 90.00, 90.00, 106.59 degrees
Site moments in Bohr magnetons follow the coordinates.
Positions (direct):
N (0.742, 0.483, 0.883)  0.00
N (0.000, 0.000, 0.500)  -0.01
N (0.258, 0.517, 0.117)  0.00
N (0.408, 0.816, 0.750)  -0.03
N (0.000, 0.000, 0.000)  -0.01
N (0.742, 0.483, 0.617)  0.00
N (0.592, 0.184, 0.250)  -0.03
N (0.258, 0.517, 0.383)  0.00
Mn (0.170, 0.340, 0.250)  2.86
Mn (0.830, 0.660, 0.750)  2.86
Ce (0.369, 0.737, 0.549)  0.41
Ce (0.369, 0.737, 0.951)  0.41
Ce (0.631, 0.263, 0.451)  0.41
Ce (0.631, 0.263, 0.049)  0.41
Sr (0.100, 0.201, 0.750)  0.04
Sr (0.900, 0.799, 0.250)  0.04

---

Entry 13:
Here is a relaxed La3AuO crystal from Alexandria. Energies are from PBE.

- offset from the most stable computed form (meV/atom) = 10
- E_form (uncorrected) (eV/f.u.) = -7.25
- spin magnetization (μB per cell) = 0.00
- calculated total energy (eV per atom) = -6.05

Cell lengths 3.910, 6.730, 10.083 Å; angles 90.00, 90.00, 106.89 degrees
Positions (direct):
La (0.627, 0.253, 0.055)
La (0.373, 0.747, 0.945)
La (0.059, 0.118, 0.750)
La (0.941, 0.882, 0.250)
La (0.373, 0.747, 0.555)
La (0.627, 0.253, 0.445)
O (0.000, 0.000, 0.500)
O (0.000, 0.000, 0.000)
Au (0.245, 0.490, 0.250)
Au (0.755, 0.510, 0.750)

---

Entry 14:
Here is a relaxed ErPuSb crystal from Alexandria. Energies are from PBE.

- E_form (uncorrected) (eV/f.u.) = -0.86
- spin magnetization (μB per cell) = 6.35
- calculated total energy (eV per atom) = -7.96

Cell lengths 3.686, 5.124, 5.124 Å; angles 120.00, 90.00, 90.00 degrees
Site moments in Bohr magnetons follow the coordinates.
Positions (direct):
Sb (0.052, 0.000, 0.000)  -0.05
Er (0.252, 0.667, 0.333)  0.35
Pu (0.697, 0.333, 0.667)  5.59

---

Entry 15:
Here is a relaxed BePbSe2 crystal from Alexandria. Energies are from PBE.

- offset from the most stable computed form (meV/atom) = 1104
- E_form (uncorrected) (eV/f.u.) = 2.31
- spin magnetization (μB per cell) = 0.00
- calculated total energy (eV per atom) = -3.02

Cell lengths 4.968, 4.968, 4.968 Å; angles 60.00, 60.00, 60.00 degrees
Positions (direct):
Be (0.500, 0.500, 0.500)
Se (0.250, 0.250, 0.250)
Se (0.000, 0.000, 0.000)
Pb (0.750, 0.750, 0.750)

---

Entry 16:
Here is a relaxed BeTcNi6 crystal from Alexandria. Energies are from PBE.

- DFT formation energy (eV/atom) = -0.054
- spin magnetization (μB per cell) = 4.07
- calculated total energy (eV per atom) = -6.15

Cell lengths 6.112, 6.112, 10.015 Å; angles 90.00, 90.00, 110.05 degrees
Site moments in Bohr magnetons follow the coordinates.
Positions (direct):
Ni (0.870, 0.619, 0.628)  0.07
Ni (0.621, 0.867, 0.120)  0.12
Ni (0.000, 0.000, 0.750)  0.03
Ni (0.867, 0.621, 0.120)  0.12
Ni (0.130, 0.381, 0.628)  0.07
Ni (0.750, 0.250, 0.996)  0.08
Ni (0.379, 0.133, 0.120)  0.12
Ni (0.619, 0.870, 0.872)  0.07
Ni (0.381, 0.130, 0.628)  0.07
Ni (0.130, 0.381, 0.872)  0.07
Ni (0.867, 0.621, 0.380)  0.12
Ni (0.500, 0.500, 0.750)  0.05
Ni (0.250, 0.750, 0.504)  0.08
Ni (0.619, 0.870, 0.628)  0.07
Ni (0.870, 0.619, 0.872)  0.07
Ni (0.750, 0.250, 0.504)  0.08
Ni (0.133, 0.379, 0.380)  0.12
Ni (0.133, 0.379, 0.120)  0.12
Ni (0.500, 0.500, 0.250)  0.21
Ni (0.250, 0.750, 0.996)  0.08
Ni (0.381, 0.130, 0.872)  0.07
Ni (0.621, 0.867, 0.380)  0.12
Ni (0.379, 0.133, 0.380)  0.12
Ni (0.000, 0.000, 0.250)  0.12
Be (0.243, 0.757, 0.750)  0.00
Be (0.500, 0.500, 0.511)  0.00
Be (0.757, 0.243, 0.750)  0.00
Be (0.500, 0.500, 0.989)  0.00
Tc (0.000, 0.000, 0.992)  0.31
Tc (0.000, 0.000, 0.508)  0.31
Tc (0.754, 0.246, 0.250)  0.62
Tc (0.246, 0.754, 0.250)  0.62

---

Entry 17:
Here is a relaxed DyHo2ErTm crystal from Alexandria. Energies are from PBE.

- DFT formation energy (eV/atom) = 0.409
- spin magnetization (μB per cell) = 0.00
- calculated total energy (eV per atom) = -4.15

Cell lengths 7.147, 8.267, 6.991 Å; angles 126.25, 90.00, 90.00 degrees
Positions (direct):
Ho (0.000, 0.692, 0.000)
Ho (0.500, 0.308, 0.000)
Ho (0.000, 0.308, 0.000)
Ho (0.500, 0.692, 0.000)
Dy (0.750, 0.274, 0.548)
Dy (0.250, 0.726, 0.452)
Er (0.750, 0.723, 0.446)
Er (0.250, 0.277, 0.554)
Tm (0.750, 0.999, 0.998)
Tm (0.250, 0.001, 0.002)

---

Entry 18:
Here is a relaxed YZr4Ag crystal from Alexandria. Energies are from PBE.

- DFT formation energy (eV/atom) = 0.290
- spin magnetization (μB per cell) = 0.00
- calculated total energy (eV per atom) = -6.96

Cell lengths 5.914, 5.914, 5.914 Å; angles 60.00, 60.00, 60.00 degrees
Positions (direct):
Zr (0.373, 0.373, 0.373)
Zr (0.373, 0.880, 0.373)
Zr (0.373, 0.373, 0.880)
Zr (0.880, 0.373, 0.373)
Y (0.000, 0.000, 0.000)
Ag (0.750, 0.750, 0.750)

---

Entry 19:
Here is a relaxed NiPW2 crystal from Alexandria. Energies are from PBE.

- DFT formation energy (eV/atom) = 1.042
- spin magnetization (μB per cell) = 0.00
- calculated total energy (eV per atom) = -8.23

Cell lengths 5.435, 5.435, 6.515 Å; angles 65.35, 65.35, 90.00 degrees
Positions (direct):
W (0.375, 0.363, 0.750)
W (0.875, 0.887, 0.750)
W (0.637, 0.125, 0.250)
W (0.113, 0.625, 0.250)
P (0.250, 0.750, 0.500)
P (0.500, 0.500, 0.000)
Ni (0.750, 0.250, 0.500)
Ni (0.000, 0.000, 0.000)

---

Entry 20:
Here is a relaxed InTcSn2 crystal from Alexandria. Energies are from PBE.

- DFT formation energy (eV/atom) = 0.126
- spin magnetization (μB per cell) = 0.00
- calculated total energy (eV per atom) = -5.15

Cell lengths 3.272, 3.272, 8.543 Å; angles 90.00, 90.00, 90.00 degrees
Positions (direct):
Tc (0.500, 0.500, 0.000)
Sn (0.000, 0.000, 0.190)
Sn (0.000, 0.000, 0.810)
In (0.500, 0.500, 0.500)